Here is RbNa2TlRh after structural relaxation from Alexandria via LeMat-Bulk. Energies are from GGA-PBE.

Output
The density of states at the Fermi level comes out at 2.40 states/eV per cell. Its volume is 167.2 Å³/cell. Its uncorrected energy is -2.57 eV/atom.

abc: 5.6025 5.6025 5.3261
angles: 90.00 90.00 90.00
Closest atoms and distances in Å follow each position.
Fractional coordinates of all 5 atoms:
Rb 0.5000 0.5000 0.5000  8 Na 3.87, 4 Tl 3.96
Na 0.5000 0.0000 0.0000  2 Rh 2.80
Na 0.0000 0.5000 0.0000  2 Rh 2.80
Tl 0.0000 0.0000 0.5000  2 Rh 2.66
Rh 0.0000 0.0000 0.0000  2 Tl 2.66, 4 Na 2.80

Here is TmPu2ScP4 after structural relaxation from Alexandria via LeMat-Bulk. Energies are from GGA-PBE.

Output
The density of states at the Fermi level comes out at 22.43 states/eV per cell. Its volume is 170.1 Å³/cell. Its uncorrected energy is -8.95 eV/atom.

abc: 3.9365 6.7947 6.7579
angles: 109.77 90.00 90.00
Closest atoms and distances in Å follow each position.
Fractional coordinates of all 8 atoms:
Pu 0.5000 0.0000 0.5000  6 P 2.77-2.78
Tm 0.5000 0.5000 0.0000  6 P 2.77
Sc 0.0000 0.0000 0.0000  6 P 2.72-2.73
P 0.5000 0.2430 0.2423  2 Sc 2.73, 1 Tm 2.77, 3 Pu 2.78-2.81
P 0.5000 0.7570 0.7577  2 Sc 2.73, 1 Tm 2.77, 3 Pu 2.78-2.81
P 0.0000 0.2445 0.7541  1 Sc 2.72, 3 Pu 2.77-2.82, 2 Tm 2.77
P 0.0000 0.7555 0.2459  1 Sc 2.72, 3 Pu 2.77-2.82, 2 Tm 2.77
Pu 0.0000 0.5000 0.5000  6 P 2.81-2.82

Here is BeRhW2 after structural relaxation from Alexandria via LeMat-Bulk. Energies are from GGA-PBE.

Output
The density of states at the Fermi level comes out at 3.23 states/eV per cell. Its volume is 56.5 Å³/cell. Its uncorrected energy is -9.14 eV/atom.

abc: 4.1064 3.7085 3.7085
angles: 90.00 90.00 90.00
Closest atoms and distances in Å follow each position.
Fractional coordinates of all 4 atoms:
W 0.0000 0.0000 0.0000  4 W 2.62, 4 Be 2.77, 4 Rh 2.77
W 0.0000 0.5000 0.5000  4 W 2.62, 4 Be 2.77, 4 Rh 2.77
Rh 0.5000 0.0000 0.5000  4 Be 2.62, 8 W 2.77
Be 0.5000 0.5000 0.0000  4 Rh 2.62, 8 W 2.77

Here is HgGeSbPd2 after structural relaxation from Alexandria via LeMat-Bulk. Energies are from GGA-PBE.

Output
The density of states at the Fermi level comes out at 3.96 states/eV per cell. Its volume is 119.5 Å³/cell. The uncorrected formation energy comes out at 310 meV/atom.

abc: 4.7210 5.3608 4.7210
angles: 90.00 90.00 90.00
Closest atoms and distances in Å follow each position.
Fractional coordinates of all 5 atoms:
Sb 0.0000 0.5000 0.0000  2 Ge 2.68
Ge 0.0000 0.0000 0.0000  4 Pd 2.36
Hg 0.5000 0.5000 0.5000  4 Sb 3.34, 8 Pd 3.57
Pd 0.5000 0.0000 0.0000  2 Ge 2.36
Pd 0.0000 0.0000 0.5000  2 Ge 2.36